Density functional theory data (GGA-PBE) for a relaxed structure of LiThTc.

abc: 4.500 4.500 4.500
angles: 60.00 60.00 60.00
Fractional positions:
Li  0.000  0.000  0.000
Th  0.250  0.250  0.250
Tc  0.500  0.500  0.500

Properties
Calculated total energy = -5.803 eV per atom
Size of the total moment = 0.0 μB/f.u.
Energy above the most stable polymorph in this dataset = 0.233 eV/atom



Density functional theory data (GGA-PBE) for a relaxed structure of LiTlTc.

abc: 4.247 4.247 4.247
angles: 60.00 60.00 60.00
Fractional positions:
Li  0.000  0.000  0.000
Tl  0.250  0.250  0.250
Tc  0.750  0.750  0.750

Properties
Calculated total energy = -4.033 eV per atom
Size of the total moment = 2.1 μB/f.u.
Energy above the most stable polymorph in this dataset = 0.000 eV/atom



Density functional theory data (GGA-PBE) for a relaxed structure of LiTmTc.

abc: 4.519 4.519 4.519
angles: 60.00 60.00 60.00
Fractional positions:
Li  0.000  0.000  0.000
Tm  0.250  0.250  0.250
Tc  0.500  0.500  0.500

Properties
Calculated total energy = -4.490 eV per atom
Size of the total moment = 1.2 μB/f.u.
Energy above the most stable polymorph in this dataset = 0.354 eV/atom



Density functional theory data (GGA-PBE) for a relaxed structure of LiTmTc.

abc: 4.319 4.319 4.319
angles: 60.00 60.00 60.00
Fractional positions:
Li  0.000  0.000  0.000
Tm  0.250  0.250  0.250
Tc  0.750  0.750  0.750

Properties
Calculated total energy = -4.844 eV per atom
Size of the total moment = 1.0 μB/f.u.
Energy above the most stable polymorph in this dataset = 0.000 eV/atom



Density functional theory data (GGA-PBE) for a relaxed structure of LiUTc.

abc: 4.356 4.356 4.356
angles: 60.00 60.00 60.00
Fractional positions:
Li  0.000  0.000  0.000
U  0.250  0.250  0.250
Tc  0.500  0.500  0.500

Properties
Calculated total energy = -6.849 eV per atom
Size of the total moment = 2.0 μB/f.u.



Density functional theory data (GGA-PBE) for a relaxed structure of LiTcW2.

abc: 4.366 4.366 4.366
angles: 60.00 60.00 60.00
Fractional positions:
Li  0.000  0.000  0.000
Tc  0.250  0.250  0.250
W  0.500  0.500  0.500
W  0.750  0.750  0.750

Properties
Calculated total energy = -9.196 eV per atom
Size of the total moment = 0.0 μB/f.u.



Density functional theory data (GGA-PBE) for a relaxed structure of LiTc2W.

abc: 4.316 4.316 4.316
angles: 60.00 60.00 60.00
Fractional positions:
Li  0.000  0.000  0.000
Tc  0.500  0.500  0.500
Tc  0.750  0.750  0.750
W  0.250  0.250  0.250

Properties
Calculated total energy = -8.583 eV per atom
Size of the total moment = 0.0 μB/f.u.



Density functional theory data (GGA-PBE) for a relaxed structure of LiTc4W3.

abc: 6.231 6.231 6.231
angles: 131.82 131.82 70.51
Fractional positions:
Li  0.000  0.000  0.000
Tc  0.000  0.500  0.500
Tc  0.232  0.232  0.000
Tc  0.500  0.000  0.500
Tc  0.768  0.768  0.000
W  0.250  0.750  0.500
W  0.500  0.500  0.000
W  0.750  0.250  0.500

Properties
Calculated total energy = -9.189 eV per atom
Size of the total moment = 0.0 μB/f.u.



Density functional theory data (GGA-PBE) for a relaxed structure of LiZrTcW.

abc: 4.501 4.501 4.501
angles: 60.00 60.00 60.00
Fractional positions:
Li  0.000  0.000  0.000
Zr  0.750  0.750  0.750
Tc  0.250  0.250  0.250
W  0.500  0.500  0.500

Properties
Calculated total energy = -8.265 eV per atom
Size of the total moment = 0.0 μB/f.u.
Energy above the most stable polymorph in this dataset = 0.067 eV/atom



Density functional theory data (GGA-PBE) for a relaxed structure of LiZrTcW.

abc: 4.505 4.505 4.505
angles: 60.00 60.00 60.00
Fractional positions:
Li  0.000  0.000  0.000
Zr  0.750  0.750  0.750
Tc  0.500  0.500  0.500
W  0.250  0.250  0.250

Properties
Calculated total energy = -8.331 eV per atom
Size of the total moment = 0.0 μB/f.u.
Energy above the most stable polymorph in this dataset = 0.000 eV/atom



Density functional theory data (GGA-PBE) for a relaxed structure of Li2YTc.

abc: 4.667 4.667 4.667
angles: 60.00 60.00 60.00
Fractional positions:
Li  0.000  0.000  0.000
Li  0.250  0.250  0.250
Y  0.500  0.500  0.500
Tc  0.750  0.750  0.750

Properties
Calculated total energy = -4.727 eV per atom
Size of the total moment = 0.2 μB/f.u.



Density functional theory data (GGA-PBE) for a relaxed structure of LiYTc2.

abc: 4.555 4.555 4.555
angles: 60.00 60.00 60.00
Fractional positions:
Li  0.000  0.000  0.000
Y  0.250  0.250  0.250
Tc  0.500  0.500  0.500
Tc  0.750  0.750  0.750

Properties
Calculated total energy = -7.106 eV per atom
Size of the total moment = 0.0 μB/f.u.



What did the seventh record say?
Density functional theory data (GGA-PBE) for a relaxed structure of LiTc2W.

abc: 4.316 4.316 4.316
angles: 60.00 60.00 60.00
Fractional positions:
Li  0.000  0.000  0.000
Tc  0.500  0.500  0.500
Tc  0.750  0.750  0.750
W  0.250  0.250  0.250

Properties
Calculated total energy = -8.583 eV per atom
Size of the total moment = 0.0 μB/f.u.



Number 1 is which compound? LiThTc



What is the size of the total moment in the first record? 0.0 μB/f.u.